No. 1
DFT (PBE) results for Te3As after structural relaxation.

Output
Its uncorrected formation energy is 520 meV per atom. Its space group is Pm-3m, No. 221. The total energy is -3.00 eV/atom. The density of states at the Fermi level is 3.03 states/eV/f.u. For the total magnetic moment, the calculation gives 0.00 μB/f.u. The distance to the lowest polymorph of the same formula is 0.4470 eV per atom.

a b c (Å): 4.702 4.702 4.702
angles (deg): 90.00 90.00 90.00
Sites, in units of the cell vectors:
Te 0.000 0.000 0.500
Te 0.000 0.500 0.000
Te 0.500 0.000 0.000
As 0.500 0.500 0.500

***

No. 2
DFT (PBE) results for Te3As after structural relaxation.

Output
Its uncorrected formation energy is 157 meV per atom. Its space group is Pmm2, No. 25. The total energy is -3.36 eV/atom. The density of states at the Fermi level is 1.98 states/eV/f.u. For the total magnetic moment, the calculation gives 0.00 μB/f.u. The distance to the lowest polymorph of the same formula is 0.0838 eV per atom.

a b c (Å): 3.910 4.271 7.739
angles (deg): 90.00 90.00 90.00
Sites, in units of the cell vectors:
Te 0.000 0.000 0.000
Te 0.000 0.500 0.446
Te 0.500 0.500 0.715
As 0.500 0.000 0.236

***

No. 3
DFT (PBE) results for Te3As after structural relaxation.

Output
Its uncorrected formation energy is 139 meV per atom. Its space group is Pmmn, No. 59. The total energy is -3.38 eV/atom. The density of states at the Fermi level is 1.39 states/eV/f.u. For the total magnetic moment, the calculation gives 0.00 μB/f.u. The distance to the lowest polymorph of the same formula is 0.0651 eV per atom.

a b c (Å): 3.860 9.224 7.613
angles (deg): 90.00 90.00 90.00
Sites, in units of the cell vectors:
Te 0.250 0.022 0.136
Te 0.250 0.250 0.568
Te 0.250 0.478 0.136
Te 0.750 0.522 0.864
Te 0.750 0.750 0.432
Te 0.750 0.978 0.864
As 0.250 0.750 0.675
As 0.750 0.250 0.325

***

No. 4
DFT (PBE) results for Te4As3 after structural relaxation.

Output
Its uncorrected formation energy is 480 meV per atom. Its space group is P6/mmm, No. 191. The total energy is -3.31 eV/atom. The density of states at the Fermi level is 6.02 states/eV/f.u. For the total magnetic moment, the calculation gives 0.00 μB/f.u. The distance to the lowest polymorph of the same formula is 0.1596 eV per atom.

a b c (Å): 5.401 5.401 7.470
angles (deg): 90.00 90.00 120.00
Sites, in units of the cell vectors:
Te 0.000 0.000 0.225
Te 0.000 0.000 0.775
Te 0.333 0.667 0.500
Te 0.667 0.333 0.500
As 0.000 0.500 0.000
As 0.500 0.000 0.000
As 0.500 0.500 0.000

***

Q: The highest distance to the lowest polymorph of the same formula belongs to which entry?
A: number 1